# 1
Below is a relaxed Si2H6Se crystal, with properties calculated at the PBE level.

Summary:
Space group: P4_32_12, No. 96
Spin magnetization (μB per formula unit): 0.0
Total energy (eV/atom): -3.91
Calculated density (g/cm3): 1.83

Lattice parameters (Å, degrees): 8.248 8.248 15.028 90.00 90.00 90.00
Fractional positions:
Si (0.097, 0.261, 0.146)
Si (0.152, 0.276, 0.659)
Si (0.224, 0.652, 0.409)
Si (0.239, 0.597, 0.896)
Si (0.261, 0.097, 0.854)
Si (0.276, 0.152, 0.341)
Si (0.348, 0.776, 0.091)
Si (0.403, 0.761, 0.604)
Si (0.597, 0.239, 0.104)
Si (0.652, 0.224, 0.591)
Si (0.724, 0.848, 0.841)
Si (0.739, 0.903, 0.354)
Si (0.761, 0.403, 0.396)
Si (0.776, 0.348, 0.909)
Si (0.848, 0.724, 0.159)
Si (0.903, 0.739, 0.646)
H (0.018, 0.385, 0.688)
H (0.055, 0.761, 0.698)
H (0.082, 0.386, 0.075)
H (0.094, 0.105, 0.657)
H (0.103, 0.155, 0.890)
H (0.105, 0.094, 0.343)
H (0.114, 0.582, 0.825)
H (0.115, 0.518, 0.438)
H (0.155, 0.103, 0.110)
H (0.172, 0.719, 0.322)
H (0.219, 0.328, 0.572)
H (0.239, 0.945, 0.802)
H (0.261, 0.445, 0.948)
H (0.281, 0.828, 0.178)
H (0.328, 0.219, 0.428)
H (0.345, 0.603, 0.640)
H (0.385, 0.018, 0.312)
H (0.386, 0.082, 0.925)
H (0.395, 0.594, 0.407)
H (0.397, 0.655, 0.860)
H (0.406, 0.605, 0.093)
H (0.418, 0.886, 0.675)
H (0.445, 0.261, 0.052)
H (0.482, 0.885, 0.062)
H (0.518, 0.115, 0.562)
H (0.555, 0.739, 0.552)
H (0.582, 0.114, 0.175)
H (0.594, 0.395, 0.593)
H (0.603, 0.345, 0.360)
H (0.605, 0.406, 0.907)
H (0.614, 0.918, 0.425)
H (0.615, 0.982, 0.812)
H (0.655, 0.397, 0.140)
H (0.672, 0.781, 0.928)
H (0.719, 0.172, 0.678)
H (0.739, 0.555, 0.448)
H (0.761, 0.055, 0.302)
H (0.781, 0.672, 0.072)
H (0.828, 0.281, 0.822)
H (0.845, 0.897, 0.610)
H (0.885, 0.482, 0.938)
H (0.886, 0.418, 0.325)
H (0.895, 0.906, 0.843)
H (0.897, 0.845, 0.390)
H (0.906, 0.895, 0.157)
H (0.918, 0.614, 0.575)
H (0.945, 0.239, 0.198)
H (0.982, 0.615, 0.188)
Se (0.135, 0.792, 0.992)
Se (0.208, 0.865, 0.508)
Se (0.292, 0.365, 0.242)
Se (0.365, 0.292, 0.758)
Se (0.635, 0.708, 0.258)
Se (0.708, 0.635, 0.742)
Se (0.792, 0.135, 0.008)
Se (0.865, 0.208, 0.492)

# 2
Below is a relaxed CsBS2 crystal, with properties calculated at the PBE level.

Summary:
Energy above the lowest structure with this stoichiometry (eV per atom): 0.046
Space group: P-42_1m, No. 113
Spin magnetization (μB per formula unit): 0.0
Total energy (eV/atom): -4.79
Calculated density (g/cm3): 2.44
Formation energy without anion corrections (eV per atom): -0.84

Lattice parameters (Å, degrees): 7.669 7.669 4.805 90.00 90.00 90.00
Fractional positions:
Cs (0.000, 0.000, 0.000)
Cs (0.500, 0.500, 0.000)
B (0.000, 0.500, 0.499)
B (0.500, 0.000, 0.501)
S (0.155, 0.655, 0.499)
S (0.345, 0.155, 0.501)
S (0.655, 0.845, 0.501)
S (0.845, 0.345, 0.499)

# 3
Below is a relaxed Ac2PmNd5 crystal, with properties calculated at the PBE level.

Summary:
Space group: Pbam, No. 55
Spin magnetization (μB per formula unit): 0.0
Total energy (eV/atom): -4.58
Calculated density (g/cm3): 7.35
ΔH_f (0 K) (eV/atom): 0.025

Lattice parameters (Å, degrees): 7.490 14.982 5.317 90.00 90.00 90.00
Fractional positions:
Ac (0.249, 0.125, 0.000)
Ac (0.251, 0.625, 0.000)
Ac (0.749, 0.375, 0.000)
Ac (0.751, 0.875, 0.000)
Pm (0.000, 0.000, 0.500)
Pm (0.500, 0.500, 0.500)
Nd (0.000, 0.500, 0.500)
Nd (0.001, 0.750, 0.500)
Nd (0.249, 0.375, 0.000)
Nd (0.251, 0.875, 0.000)
Nd (0.499, 0.250, 0.500)
Nd (0.500, 0.000, 0.500)
Nd (0.501, 0.750, 0.500)
Nd (0.749, 0.125, 0.000)
Nd (0.751, 0.625, 0.000)
Nd (0.999, 0.250, 0.500)

# 4
Below is a relaxed Cu2OsAu crystal, with properties calculated at the PBE level.

Summary:
Energy above the lowest structure with this stoichiometry (eV per atom): 0.082
Space group: Cmmm, No. 65
Spin magnetization (μB per formula unit): 0.0
Total energy (eV/atom): -5.36
Calculated density (g/cm3): 14.74
ΔH_f (0 K) (eV/atom): 0.311

Lattice parameters (Å, degrees): 2.685 2.685 8.978 90.00 90.00 116.44
Fractional positions:
Cu (0.000, 0.000, 0.242)
Cu (0.000, 0.000, 0.758)
Os (0.500, 0.500, 0.000)
Au (0.500, 0.500, 0.500)

# 5
Below is a relaxed SrScRe2P crystal, with properties calculated at the PBE level.

Summary:
Space group: P4/mmm, No. 123
Spin magnetization (μB per formula unit): 3.4
Total energy (eV/atom): -6.26
Calculated density (g/cm3): 7.45
ΔH_f (0 K) (eV/atom): 1.400

Lattice parameters (Å, degrees): 4.894 4.894 4.984 90.00 90.00 90.00
Fractional positions:
Sr (0.000, 0.000, 0.000)
Sc (0.500, 0.500, 0.500)
Re (0.000, 0.500, 0.500)
Re (0.500, 0.000, 0.500)
P (0.500, 0.500, 0.000)

# 6
Below is a relaxed ScCoSb2 crystal, with properties calculated at the PBE level.

Summary:
Space group: R3m, No. 160
Spin magnetization (μB per formula unit): 0.0
Total energy (eV/atom): -5.49
Calculated density (g/cm3): 6.53
Formation energy without anion corrections (eV per atom): -0.07

Lattice parameters (Å, degrees): 8.563 8.563 8.563 23.60 23.60 23.60
Fractional positions:
Sc (0.000, 0.000, 0.000)
Co (0.735, 0.735, 0.735)
Sb (0.238, 0.238, 0.238)
Sb (0.459, 0.459, 0.459)